This record from the Alexandria database describes a relaxed structure of ZrCrH3. The functional is PBE-GGA.

a = 3.015 Å, b = 5.670 Å, c = 5.086 Å
α = 108.80°, β = 90.00°, γ = 90.00°
Fractional coordinates of all 10 atoms:
Cr 0.750 0.146 0.617
H 0.750 0.366 0.942
H 0.250 0.377 0.624
H 0.250 0.634 0.058
Cr 0.250 0.854 0.383
Zr 0.250 0.306 0.196
H 0.250 0.995 0.756
Zr 0.750 0.694 0.804
H 0.750 0.005 0.244
H 0.750 0.623 0.376

Total magnetization, Bohr magnetons per cell: 0.000
Calculated volume, Å³/atom: 8.23
Fermi-level density of states, states/eV/cell: 3.8
Calculated total energy, hartree per atom: -0.2140
SG: P2_1/m